Mn2Zn2Ni4C | the Alexandria database | PBE | relaxed; size of the total moment = 6.88 μB per cell; symmetry = No. 139; formation enthalpy at 0 K = -0.72 eV per formula unit
1.0
-0.5645 -4.6437 2.2977
3.2684 3.4257 2.1782
-4.0379 3.2930 0.1150
Ni Mn Zn C
4 2 2 1
Direct
0.0000 0.7477 0.2523
0.0000 0.2523 0.7477
0.5046 0.2523 0.2523
0.4954 0.7477 0.7477
0.0000 0.7289 0.7289
0.0000 0.2711 0.2711
0.5000 0.2500 0.7500
0.5000 0.7500 0.2500
0.0000 0.0000 0.0000